The following is a PBE-GGA calculation of a geometry-optimized SmDyThCd structure, from Alexandria via LeMat-Bulk.

Results
* crystal system: tetragonal
* D(E_F): 3.95 states/eV/f.u.
* density: 9290 kg/m³
* energy relative to the elements: -167 meV/atom
* distance to the lowest polymorph of the same formula: 0.00 kcal/mol of atoms

Cell lengths 3.627, 3.627, 8.929 Å; angles 90.00, 90.00, 90.00 degrees
Element x y z (fractional)
Sm1 0.000 0.000 0.088
Cd1 0.500 0.500 0.328
Th1 0.500 0.500 0.817
Dy1 0.000 0.000 0.552